Density functional theory data (PBE-GGA) for a geometry-optimized SrAl2Pd2 structure.

Properties
**E_tot**: -4.48 eV/atom
**Density of states at the Fermi level**: 1.5 states/eV/f.u.
**ρ**: 6.4 g cm⁻³

abc: 7.9090 7.9090 2.9351
angles: 90.00 90.00 90.00
With the nearest neighbours (Å) after each atom.
Positions (direct):
1 Sr 0.0000 0.0000 0.0000  2 Sr 2.94, 4 Al 3.15, 8 Pd 3.27
2 Sr 0.5000 0.5000 0.0000  2 Sr 2.94, 4 Al 3.15, 8 Pd 3.27
3 Al 0.1196 0.3804 0.0000  3 Al 2.68-2.94, 6 Pd 2.73-2.78
4 Al 0.3804 0.8804 0.0000  3 Al 2.68-2.94, 6 Pd 2.73-2.78
5 Al 0.6196 0.1196 0.0000  3 Al 2.68-2.94, 6 Pd 2.73-2.78
6 Al 0.8804 0.6196 0.0000  3 Al 2.68-2.94, 6 Pd 2.73-2.78
7 Pd 0.1742 0.6742 0.5000  6 Al 2.73-2.78, 2 Pd 2.94
8 Pd 0.3258 0.1742 0.5000  6 Al 2.73-2.78, 2 Pd 2.94
9 Pd 0.6742 0.8258 0.5000  6 Al 2.73-2.78, 2 Pd 2.94
10 Pd 0.8258 0.3258 0.5000  6 Al 2.73-2.78, 2 Pd 2.94

---

Density functional theory data (PBE-GGA) for a geometry-optimized SrAl6Pd4 structure.

Properties
**E_tot**: -4.81 eV/atom
**Density of states at the Fermi level**: 2.8 states/eV/f.u.
**ρ**: 5.8 g cm⁻³

abc: 7.3426 7.3426 4.1353
angles: 90.00 90.00 120.00
With the nearest neighbours (Å) after each atom.
Positions (direct):
1 Sr 0.0000 0.0000 0.0000  6 Pd 3.31, 12 Al 3.31-3.70
2 Al 0.2033 0.4067 0.5000  4 Pd 2.59-2.65, 2 Al 2.86
3 Al 0.2033 0.7967 0.5000  4 Pd 2.59-2.65, 2 Al 2.86
4 Al 0.5347 0.0695 0.0000  5 Pd 2.56-2.66
5 Al 0.5347 0.4653 0.0000  5 Pd 2.56-2.66
6 Al 0.5933 0.7967 0.5000  4 Pd 2.59-2.65, 2 Al 2.86
7 Al 0.9305 0.4653 0.0000  5 Pd 2.56-2.66
8 Pd 0.3333 0.6667 0.0000  9 Al 2.56-2.65
9 Pd 0.4067 0.2033 0.5000  6 Al 2.59-2.66, 2 Pd 2.86
10 Pd 0.7967 0.2033 0.5000  6 Al 2.59-2.66, 2 Pd 2.86
11 Pd 0.7967 0.5933 0.5000  6 Al 2.59-2.66, 2 Pd 2.86

---

Density functional theory data (PBE-GGA) for a geometry-optimized Sr3Al2Pd6 structure.

Properties
**E_tot**: -4.68 eV/atom
**Density of states at the Fermi level**: 5.3 states/eV/f.u.
**ρ**: 6.7 g cm⁻³

abc: 8.4874 8.4874 8.4874
angles: 109.47 109.47 109.47
With the nearest neighbours (Å) after each atom.
Positions (direct):
1 Sr 0.0000 0.3000 0.3000  8 Pd 3.14-3.17, 4 Al 3.50
2 Sr 0.0000 0.7000 0.7000  8 Pd 3.14-3.17, 4 Al 3.50
3 Sr 0.3000 0.0000 0.3000  8 Pd 3.14-3.17, 4 Al 3.50
4 Sr 0.3000 0.3000 0.0000  8 Pd 3.14-3.17, 4 Al 3.50
5 Sr 0.7000 0.0000 0.7000  8 Pd 3.14-3.17, 4 Al 3.50
6 Sr 0.7000 0.7000 0.0000  8 Pd 3.14-3.17, 4 Al 3.50
7 Al 0.0000 0.0000 0.5000  6 Pd 2.64
8 Al 0.0000 0.5000 0.0000  6 Pd 2.64
9 Al 0.5000 0.0000 0.0000  6 Pd 2.64
10 Al 0.5000 0.5000 0.5000  6 Pd 2.64
11 Pd 0.0000 0.3201 0.6799  2 Al 2.64, 4 Pd 2.85
12 Pd 0.0000 0.6799 0.3201  2 Al 2.64, 4 Pd 2.85
13 Pd 0.3201 0.0000 0.6799  2 Al 2.64, 4 Pd 2.85
14 Pd 0.3201 0.3201 0.6402  2 Al 2.64, 4 Pd 2.85
15 Pd 0.3201 0.6402 0.3201  2 Al 2.64, 4 Pd 2.85
16 Pd 0.3201 0.6799 0.0000  2 Al 2.64, 4 Pd 2.85
17 Pd 0.3598 0.6799 0.6799  2 Al 2.64, 4 Pd 2.85
18 Pd 0.6402 0.3201 0.3201  2 Al 2.64, 4 Pd 2.85
19 Pd 0.6799 0.0000 0.3201  2 Al 2.64, 4 Pd 2.85
20 Pd 0.6799 0.3201 0.0000  2 Al 2.64, 4 Pd 2.85
21 Pd 0.6799 0.3598 0.6799  2 Al 2.64, 4 Pd 2.85
22 Pd 0.6799 0.6799 0.3598  2 Al 2.64, 4 Pd 2.85

---

Density functional theory data (PBE-GGA) for a geometry-optimized SrAl2Pd3 structure.

Properties
**E_tot**: -4.91 eV/atom
**Density of states at the Fermi level**: 3.7 states/eV/f.u.
**ρ**: 6.4 g cm⁻³

abc: 6.7069 6.7069 5.5016
angles: 90.00 90.00 75.42
With the nearest neighbours (Å) after each atom.
Positions (direct):
1 Sr 0.1796 0.8204 0.7500  9 Pd 3.16-3.49
2 Sr 0.8204 0.1796 0.2500  9 Pd 3.16-3.49
3 Al 0.2989 0.2989 0.0000  6 Pd 2.51-2.66, 2 Al 2.75
4 Al 0.2989 0.2989 0.5000  6 Pd 2.51-2.66, 2 Al 2.75
5 Al 0.7011 0.7011 0.0000  6 Pd 2.51-2.66, 2 Al 2.75
6 Al 0.7011 0.7011 0.5000  6 Pd 2.51-2.66, 2 Al 2.75
7 Pd 0.0216 0.5776 0.2500  4 Al 2.51-2.66, 1 Pd 2.76
8 Pd 0.4224 0.9784 0.2500  4 Al 2.51-2.66, 1 Pd 2.76
9 Pd 0.4359 0.5641 0.2500  4 Al 2.59, 2 Pd 2.76
10 Pd 0.5641 0.4359 0.7500  4 Al 2.59, 2 Pd 2.76
11 Pd 0.5776 0.0216 0.7500  4 Al 2.51-2.66, 1 Pd 2.76
12 Pd 0.9784 0.4224 0.7500  4 Al 2.51-2.66, 1 Pd 2.76

---

Density functional theory data (PBE-GGA) for a geometry-optimized SrAl2Pd2 structure.

Properties
**E_tot**: -4.62 eV/atom
**Density of states at the Fermi level**: 2.5 states/eV/f.u.
**ρ**: 5.6 g cm⁻³

abc: 6.0177 6.0177 6.0177
angles: 135.82 135.82 64.27
With the nearest neighbours (Å) after each atom.
Positions (direct):
1 Sr 0.0000 0.0000 0.0000  8 Pd 3.41, 10 Al 3.50-3.68
2 Al 0.3612 0.3612 0.0000  4 Pd 2.53, 1 Al 2.83
3 Al 0.6388 0.6388 0.0000  4 Pd 2.53, 1 Al 2.83
4 Pd 0.2500 0.7500 0.5000  4 Al 2.53
5 Pd 0.7500 0.2500 0.5000  4 Al 2.53

---

Density functional theory data (PBE-GGA) for a geometry-optimized SrAl6Pd2 structure.

Properties
**E_tot**: -4.10 eV/atom
**Density of states at the Fermi level**: 3.0 states/eV/f.u.
**ρ**: 4.3 g cm⁻³

abc: 7.3106 7.3106 7.3106
angles: 146.57 122.49 68.18
With the nearest neighbours (Å) after each atom.
Positions (direct):
1 Sr 0.0000 0.0000 0.0000  12 Al 3.12-3.45
2 Al 0.0032 0.3054 0.6978  4 Al 2.53-2.78, 1 Pd 2.61
3 Al 0.3279 0.5000 0.8279  3 Al 2.42-2.53
4 Al 0.3924 0.6946 0.6978  4 Al 2.53-2.78, 1 Pd 2.61
5 Al 0.6076 0.3054 0.3022  4 Al 2.53-2.78, 1 Pd 2.61
6 Al 0.6721 0.5000 0.1721  3 Al 2.42-2.53
7 Al 0.9968 0.6946 0.3022  4 Al 2.53-2.78, 1 Pd 2.61
8 Pd 0.3766 0.8766 0.5000  6 Al 2.61-2.85
9 Pd 0.6234 0.1234 0.5000  6 Al 2.61-2.85

---

Density functional theory data (PBE-GGA) for a geometry-optimized SrAlPd4 structure.

Properties
**E_tot**: -4.97 eV/atom
**Density of states at the Fermi level**: 2.5 states/eV/f.u.
**ρ**: 8.0 g cm⁻³

abc: 8.0297 3.8885 7.2112
angles: 90.00 90.00 90.00
With the nearest neighbours (Å) after each atom.
Positions (direct):
1 Sr 0.2500 0.0000 0.1396  8 Pd 3.05-3.28, 1 Al 3.17
2 Sr 0.7500 0.0000 0.8604  8 Pd 3.05-3.28, 1 Al 3.17
3 Al 0.2500 0.0000 0.6994  8 Pd 2.47-2.57
4 Al 0.7500 0.0000 0.3006  8 Pd 2.47-2.57
5 Pd 0.0000 0.0000 0.5000  2 Al 2.47
6 Pd 0.0644 0.5000 0.8051  2 Al 2.57, 1 Pd 2.87
7 Pd 0.2500 0.5000 0.4654  2 Al 2.57, 6 Pd 2.81-2.87
8 Pd 0.4356 0.5000 0.8051  2 Al 2.57, 1 Pd 2.87
9 Pd 0.5000 0.0000 0.5000  2 Al 2.47
10 Pd 0.5644 0.5000 0.1949  2 Al 2.57, 1 Pd 2.87
11 Pd 0.7500 0.5000 0.5346  2 Al 2.57, 6 Pd 2.81-2.87
12 Pd 0.9356 0.5000 0.1949  2 Al 2.57, 1 Pd 2.87

---

Density functional theory data (PBE-GGA) for a geometry-optimized SrAl2Pd structure.

Properties
**E_tot**: -3.80 eV/atom
**Density of states at the Fermi level**: 1.1 states/eV/f.u.
**ρ**: 5.1 g cm⁻³

abc: 4.8385 4.8385 4.8385
angles: 60.00 60.00 60.00
With the nearest neighbours (Å) after each atom.
Positions (direct):
1 Sr 0.0000 0.0000 0.0000  8 Al 2.96
2 Al 0.2500 0.2500 0.2500  4 Pd 2.96, 4 Sr 2.96
3 Al 0.7500 0.7500 0.7500  4 Pd 2.96, 4 Sr 2.96
4 Pd 0.5000 0.5000 0.5000  8 Al 2.96

---

Density functional theory data (PBE-GGA) for a geometry-optimized SrAl2Pd8 structure.

Properties
**E_tot**: -4.83 eV/atom
**Density of states at the Fermi level**: 6.1 states/eV/f.u.
**ρ**: 6.8 g cm⁻³

abc: 5.4086 5.4086 8.3015
angles: 90.00 90.00 90.00
With the nearest neighbours (Å) after each atom.
Positions (direct):
1 Sr 0.0000 0.0000 0.0000  8 Pd 3.16
2 Al 0.0000 0.5000 0.5000  8 Pd 2.53
3 Al 0.5000 0.0000 0.5000  8 Pd 2.53
4 Pd 0.2522 0.2522 0.3013  2 Al 2.53, 4 Pd 2.68-2.73
5 Pd 0.2522 0.2522 0.6987  2 Al 2.53, 4 Pd 2.68-2.73
6 Pd 0.2522 0.7478 0.3013  2 Al 2.53, 4 Pd 2.68-2.73
7 Pd 0.2522 0.7478 0.6987  2 Al 2.53, 4 Pd 2.68-2.73
8 Pd 0.7478 0.2522 0.3013  2 Al 2.53, 4 Pd 2.68-2.73
9 Pd 0.7478 0.2522 0.6987  2 Al 2.53, 4 Pd 2.68-2.73
10 Pd 0.7478 0.7478 0.3013  2 Al 2.53, 4 Pd 2.68-2.73
11 Pd 0.7478 0.7478 0.6987  2 Al 2.53, 4 Pd 2.68-2.73

---

Density functional theory data (PBE-GGA) for a geometry-optimized SrAl2Pd2 structure.

Properties
**E_tot**: -4.48 eV/atom
**Density of states at the Fermi level**: 2.4 states/eV/f.u.
**ρ**: 6.3 g cm⁻³

abc: 7.8955 7.8955 2.9888
angles: 90.00 90.00 90.00
With the nearest neighbours (Å) after each atom.
Positions (direct):
1 Sr 0.0000 0.0000 0.0000  2 Sr 2.99, 4 Pd 3.02
2 Sr 0.5000 0.5000 0.0000  2 Sr 2.99, 4 Pd 3.02
3 Al 0.1366 0.3634 0.5000  6 Pd 2.69-2.84, 2 Al 2.99
4 Al 0.3634 0.8634 0.5000  6 Pd 2.69-2.84, 2 Al 2.99
5 Al 0.6366 0.1366 0.5000  6 Pd 2.69-2.84, 2 Al 2.99
6 Al 0.8634 0.6366 0.5000  6 Pd 2.69-2.84, 2 Al 2.99
7 Pd 0.1471 0.6471 0.0000  6 Al 2.69-2.84, 2 Pd 2.99
8 Pd 0.3529 0.1471 0.0000  6 Al 2.69-2.84, 2 Pd 2.99
9 Pd 0.6471 0.8529 0.0000  6 Al 2.69-2.84, 2 Pd 2.99
10 Pd 0.8529 0.3529 0.0000  6 Al 2.69-2.84, 2 Pd 2.99

---

Density functional theory data (PBE-GGA) for a geometry-optimized SrAl8Pd4 structure.

Properties
**E_tot**: -4.69 eV/atom
**Density of states at the Fermi level**: 2.9 states/eV/f.u.
**ρ**: 5.5 g cm⁻³

abc: 6.8960 6.8960 6.8960
angles: 99.03 99.03 133.32
With the nearest neighbours (Å) after each atom.
Positions (direct):
1 Sr 0.0000 0.0000 0.0000  12 Al 3.14-3.39, 8 Pd 3.45
2 Al 0.0000 0.3507 0.3507  5 Al 2.67-2.96, 4 Pd 2.77
3 Al 0.0000 0.6493 0.6493  5 Al 2.67-2.96, 4 Pd 2.77
4 Al 0.2752 0.5000 0.7752  4 Pd 2.63, 4 Al 2.80-2.85
5 Al 0.3507 0.0000 0.3507  5 Al 2.67-2.96, 4 Pd 2.77
6 Al 0.5000 0.2752 0.7752  4 Pd 2.63, 4 Al 2.80-2.85
7 Al 0.5000 0.7248 0.2248  4 Pd 2.63, 4 Al 2.80-2.85
8 Al 0.6493 0.0000 0.6493  5 Al 2.67-2.96, 4 Pd 2.77
9 Al 0.7248 0.5000 0.2248  4 Pd 2.63, 4 Al 2.80-2.85
10 Pd 0.0000 0.0000 0.5000  8 Al 2.63-2.77, 2 Pd 2.73
11 Pd 0.0000 0.5000 0.0000  8 Al 2.63-2.77, 2 Pd 2.73
12 Pd 0.5000 0.0000 0.0000  8 Al 2.63-2.77, 2 Pd 2.73
13 Pd 0.5000 0.5000 0.5000  8 Al 2.63-2.77, 2 Pd 2.73

---

What is the formula in the first record? SrAl2Pd2